No. 1
Nb3ReNi | PBE | optimized geometry

E_form	1.08	eV per atom
E above lowest polymorph	0.0000	eV/atom
spin magnetization	0.0	μB/f.u.
VASP energy	-8.61	eV/atom

a = 4.543 Å, b = 4.543 Å, c = 4.543 Å
α = 90.00°, β = 90.00°, γ = 90.00°
Atoms (fractional coordinates):
Nb  0.000  0.500  0.000
Nb  0.000  0.000  0.500
Nb  0.500  0.000  0.000
Re  0.500  0.500  0.500
Ni  0.000  0.000  0.000


No. 2
Tb8Dy3Er4 | PBE | optimized geometry

E_form	0.15	eV per atom
E above lowest polymorph	0.0000	eV/atom
spin magnetization	0.0	μB/f.u.
VASP energy	-4.45	eV/atom

a = 6.893 Å, b = 6.893 Å, c = 12.347 Å
α = 73.79°, β = 73.79°, γ = 60.00°
Atoms (fractional coordinates):
Er  0.000  0.000  0.000
Er  0.336  0.336  0.992
Er  0.500  0.500  0.500
Er  0.664  0.664  0.008
Dy  0.000  0.500  0.500
Dy  0.500  0.000  0.500
Dy  0.000  0.000  0.500
Tb  0.755  0.755  0.736
Tb  0.752  0.249  0.750
Tb  0.249  0.249  0.750
Tb  0.245  0.245  0.264
Tb  0.248  0.751  0.250
Tb  0.751  0.248  0.250
Tb  0.751  0.751  0.250
Tb  0.249  0.752  0.750


No. 3
ScZnIn | PBE | optimized geometry

E_form	-0.31	eV per atom
spin magnetization	0.0	μB/f.u.
VASP energy	-3.75	eV/atom

a = 4.517 Å, b = 4.517 Å, c = 4.517 Å
α = 60.00°, β = 60.00°, γ = 60.00°
Atoms (fractional coordinates):
In  0.000  0.000  0.000
Zn  0.750  0.750  0.750
Sc  0.500  0.500  0.500


No. 4
Mg3In3Pt | PBE | optimized geometry

E_form	-0.29	eV per atom
spin magnetization	0.0	μB/f.u.
VASP energy	-3.01	eV/atom

a = 4.443 Å, b = 8.915 Å, c = 8.915 Å
α = 120.00°, β = 90.00°, γ = 90.00°
Atoms (fractional coordinates):
Mg  0.750  0.558  0.442
Mg  0.750  0.558  0.116
Mg  0.750  0.884  0.442
Mg  0.250  0.116  0.558
Mg  0.250  0.442  0.884
Mg  0.250  0.442  0.558
In  0.750  0.704  0.852
In  0.750  0.148  0.296
In  0.250  0.852  0.148
In  0.750  0.148  0.852
In  0.250  0.852  0.704
In  0.250  0.296  0.148
Pt  0.250  0.667  0.333
Pt  0.750  0.333  0.667


No. 5
CaGaSn | PBE | optimized geometry

E_form	-0.51	eV per atom
spin magnetization	0.0	μB/f.u.
VASP energy	-3.52	eV/atom

a = 4.525 Å, b = 4.525 Å, c = 17.641 Å
α = 90.00°, β = 90.00°, γ = 120.00°
Atoms (fractional coordinates):
Ca  0.000  0.000  0.000
Ca  0.000  0.000  0.500
Ca  0.000  0.000  0.250
Ca  0.000  0.000  0.750
Ga  0.333  0.667  0.166
Ga  0.667  0.333  0.834
Ga  0.333  0.667  0.334
Ga  0.667  0.333  0.666
Sn  0.333  0.667  0.613
Sn  0.333  0.667  0.887
Sn  0.667  0.333  0.113
Sn  0.667  0.333  0.387


No. 6
Li4Ag3Pt2 | PBE | optimized geometry

E_form	-0.33	eV per atom
spin magnetization	0.0	μB/f.u.
VASP energy	-3.47	eV/atom

a = 4.344 Å, b = 4.342 Å, c = 8.148 Å
α = 90.05°, β = 90.00°, γ = 59.98°
Atoms (fractional coordinates):
Ag  0.000  0.000  0.000
Ag  0.333  0.333  0.423
Ag  0.667  0.667  0.577
Li  0.333  0.333  0.103
Li  0.000  0.000  0.676
Li  0.667  0.667  0.897
Li  0.000  0.000  0.324
Pt  0.333  0.334  0.779
Pt  0.667  0.666  0.221


No. 7
KZrCuS3 | PBE | optimized geometry

spin magnetization	0.0	μB/f.u.
VASP energy	-5.62	eV/atom

a = 3.768 Å, b = 7.417 Å, c = 9.841 Å
α = 90.00°, β = 90.00°, γ = 104.71°
Atoms (fractional coordinates):
S  0.380  0.760  0.945
S  0.620  0.240  0.055
S  0.380  0.760  0.555
S  0.064  0.129  0.750
S  0.620  0.240  0.445
S  0.936  0.871  0.250
Zr  0.000  0.000  0.500
Zr  0.000  0.000  0.000
K  0.745  0.490  0.750
K  0.255  0.510  0.250
Cu  0.468  0.935  0.750
Cu  0.532  0.065  0.250


No. 8
Ca2Sn4PtAu3 | PBE | optimized geometry

E_form	-0.52	eV per atom
spin magnetization	0.0	μB/f.u.
VASP energy	-4.11	eV/atom

a = 4.646 Å, b = 4.646 Å, c = 11.399 Å
α = 90.00°, β = 90.00°, γ = 90.00°
Atoms (fractional coordinates):
Ca  0.500  0.000  0.273
Ca  0.000  0.500  0.727
Au  0.500  0.000  0.857
Au  0.000  0.000  0.500
Au  0.000  0.500  0.143
Sn  0.000  0.000  0.000
Sn  0.000  0.500  0.376
Sn  0.500  0.000  0.624
Sn  0.500  0.500  0.000
Pt  0.500  0.500  0.500